{
  "formula": "Rb2Cd2Ag",
  "functional": "PBE",
  "state": "optimized geometry",
  "cell": [[-2.555, 2.555, 17.632], [2.555, -2.555, 17.632], [2.555, 2.555, -17.632]],
  "species": ["Rb", "Rb", "Rb", "Rb", "Cd", "Cd", "Cd", "Cd", "Ag", "Ag"],
  "fractional_positions": [[0.051, 0.301, 0.750], [0.301, 0.051, 0.250], [0.699, 0.949, 0.750], [0.949, 0.699, 0.250], [0.160, 0.410, 0.750], [0.410, 0.160, 0.250], [0.590, 0.840, 0.750], [0.840, 0.590, 0.250], [0.375, 0.625, 0.750], [0.625, 0.375, 0.250]],
  "dos_ef_per_ev_cell": 6.2,
  "ef_ev_per_atom": 0.040,
  "energy_ev_per_atom": -1.283,
  "relative_energy_mev_per_atom": 72
}